DFT (PBE with a Hubbard U) results for ScMnCoO4 after structural relaxation.

The structure in POSCAR format:
```
ScMnCoO4
1.0
-4.196 2.397 -3.552
-1.663 -3.284 4.811
2.572 5.573 0.723
Co O Mn Sc
2 8 2 2
direct
0.124 0.248 0.874
0.876 0.752 0.126
0.249 0.969 0.734
0.748 0.496 0.720
0.252 0.504 0.724
0.280 0.031 0.266
0.751 0.031 0.266
0.748 0.496 0.276
0.252 0.504 0.280
0.720 0.969 0.734
0.500 0.500 0.500
0.000 0.500 0.500
0.500 0.000 0.000
0.500 0.000 0.500
```

DFT total energy: -105.0 eV for the cell shown
space-group type: No. 74